[1]
Crystalline TlTe2NF at its relaxed geometry, computed with GGA-PBEsol.

The structure in POSCAR format:
```
TlTe2NF
1.0
4.7350 0.0000 0.0000
0.0000 4.7350 0.0000
0.0000 0.0000 5.3162
Te F Tl N
2 1 1 1
Cartesian
0.0000 2.3675 0.0000
2.3675 0.0000 0.0000
0.0000 0.0000 0.0000
2.3675 2.3675 2.6581
0.0000 0.0000 2.6581
```

Output
E: -3.34 eV/atom
theoretical density: 6.9 g/cm³
crystal system: tetragonal

[2]
Crystalline YTe2NF at its relaxed geometry, computed with GGA-PBEsol.

The structure in POSCAR format:
```
YTe2NF
1.0
4.2108 0.0000 0.0000
0.0000 5.8176 0.0000
0.0000 0.0000 5.8176
N Te F Y
1 2 1 1
Cartesian
2.1054 0.0000 0.0000
0.0000 0.0000 2.9088
0.0000 2.9088 0.0000
2.1054 2.9088 2.9088
0.0000 0.0000 0.0000
```

Output
E: -4.58 eV/atom
theoretical density: 4.4 g/cm³
crystal system: tetragonal